No. 1
CaBeAs: optimized geometry, GGA-PBE.

Lattice parameters (Å, degrees): 4.298 4.298 4.298 60.00 60.00 60.00
Fractional positions:
Be1 0.750 0.750 0.750
As1 0.500 0.500 0.500
Ca1 0.000 0.000 0.000

Output
The size of the total moment is 0.0 μB/f.u. The calculation puts the polymorph energy (0 for the lowest one) at 1.597 eV per formula unit.


No. 2
Cs2CaBeAs2: optimized geometry, GGA-PBE.

Lattice parameters (Å, degrees): 6.779 6.771 9.747 110.33 110.35 90.00
Fractional positions:
Cs1 0.097 0.328 0.656
Cs2 0.441 0.172 0.344
Cs3 0.903 0.672 0.344
Cs4 0.559 0.828 0.656
As1 0.629 0.430 0.860
As2 0.231 0.930 0.860
As3 0.371 0.570 0.140
As4 0.769 0.070 0.140
Be1 0.500 0.750 0.000
Be2 0.500 0.250 0.000
Ca1 0.000 0.250 0.000
Ca2 0.000 0.750 0.000

Output
The total energy is -3.307 eV/atom. The size of the total moment is 0.0 μB/f.u.


No. 3
CaBeAsH: optimized geometry, GGA-PBE.

Lattice parameters (Å, degrees): 3.892 3.892 9.923 78.69 78.69 60.00
Fractional positions:
As1 0.600 0.600 0.201
As2 0.400 0.400 0.799
Be1 0.244 0.244 0.267
Be2 0.756 0.756 0.733
Ca1 0.000 0.000 0.000
Ca2 0.500 0.500 0.500
H1 0.808 0.808 0.577
H2 0.192 0.192 0.423

Output
The total energy is -4.119 eV/atom. The size of the total moment is 0.0 μB/f.u.


No. 4
Ca2BeAsN: optimized geometry, GGA-PBE.

Lattice parameters (Å, degrees): 3.762 6.312 8.053 108.65 90.00 90.00
Fractional positions:
Ca1 0.250 0.205 0.968
Ca2 0.250 0.193 0.377
Ca3 0.750 0.795 0.032
Ca4 0.750 0.807 0.623
As1 0.250 0.666 0.297
As2 0.750 0.334 0.703
N1 0.250 0.814 0.826
N2 0.750 0.186 0.174
Be1 0.250 0.552 0.758
Be2 0.750 0.448 0.242

Output
The size of the total moment is 0.0 μB/f.u. The calculation puts the polymorph energy (0 for the lowest one) at 0.000 eV per formula unit.


No. 5
Ca2BeAsN: optimized geometry, GGA-PBE.

Lattice parameters (Å, degrees): 4.807 4.193 4.807 90.00 90.00 90.00
Fractional positions:
Ca1 0.500 0.000 0.000
Ca2 0.000 0.000 0.500
N1 0.000 0.000 0.000
As1 0.000 0.500 0.000
Be1 0.500 0.500 0.500

Output
The size of the total moment is 0.0 μB/f.u. The calculation puts the polymorph energy (0 for the lowest one) at 4.914 eV per formula unit.


No. 6
CaBe2AsN: optimized geometry, GGA-PBE.

Lattice parameters (Å, degrees): 4.105 4.733 4.105 90.00 90.00 90.00
Fractional positions:
Be1 0.500 0.000 0.000
Be2 0.000 0.000 0.500
As1 0.000 0.000 0.000
Ca1 0.500 0.500 0.500
N1 0.000 0.500 0.000

Output
The total energy is -3.752 eV/atom. The size of the total moment is 0.0 μB/f.u.


No. 7
Na2CaBeAs: optimized geometry, GGA-PBE.

Lattice parameters (Å, degrees): 5.561 4.225 5.561 90.00 90.00 90.00
Fractional positions:
Na1 0.500 0.000 0.000
Na2 0.000 0.000 0.500
Be1 0.000 0.000 0.000
Ca1 0.500 0.500 0.500
As1 0.000 0.500 0.000

Output
The total energy is -2.468 eV/atom. The size of the total moment is 0.0 μB/f.u.


No. 8
CaBeNb2As: optimized geometry, GGA-PBE.

Lattice parameters (Å, degrees): 4.446 4.988 4.446 90.00 90.00 90.00
Fractional positions:
As1 0.500 0.500 0.500
Be1 0.000 0.000 0.000
Ca1 0.000 0.500 0.000
Nb1 0.000 0.000 0.500
Nb2 0.500 0.000 0.000

Output
The total energy is -5.597 eV/atom. The size of the total moment is 0.0 μB/f.u.


No. 9
CaBe2AsO6: optimized geometry, GGA-PBE.

Lattice parameters (Å, degrees): 5.839 6.920 6.920 91.94 69.69 69.69
Fractional positions:
O1 0.842 0.356 0.367
O2 0.209 0.962 0.789
O3 0.342 0.367 0.356
O4 0.158 0.644 0.633
O5 0.051 0.630 0.185
O6 0.658 0.633 0.644
O7 0.791 0.038 0.211
O8 0.551 0.185 0.630
O9 0.291 0.211 0.038
O10 0.949 0.370 0.815
O11 0.709 0.789 0.962
O12 0.449 0.815 0.370
Be1 0.391 0.727 0.603
Be2 0.109 0.397 0.273
Be3 0.891 0.603 0.727
Be4 0.609 0.273 0.397
Ca1 0.250 0.877 0.123
Ca2 0.750 0.123 0.877
As1 0.750 0.800 0.200
As2 0.250 0.200 0.800

Output
The total energy is -6.359 eV/atom. The size of the total moment is 1.0 μB/f.u.


No. 10
CaBeAsO4: optimized geometry, GGA-PBE.

Lattice parameters (Å, degrees): 5.340 5.340 6.320 90.00 90.00 111.54
Fractional positions:
O1 0.798 0.788 0.750
O2 0.768 0.232 0.536
O3 0.768 0.232 0.964
O4 0.788 0.798 0.250
O5 0.232 0.768 0.464
O6 0.212 0.202 0.750
O7 0.232 0.768 0.036
O8 0.202 0.212 0.250
As1 0.844 0.156 0.250
As2 0.156 0.844 0.750
Be1 0.129 0.871 0.250
Be2 0.871 0.129 0.750
Ca1 0.500 0.500 0.500
Ca2 0.500 0.500 0.000

Output
The total energy is -6.328 eV/atom. The size of the total moment is 0.0 μB/f.u.


No. 11
CaBeAsO5: optimized geometry, GGA-PBE.

Lattice parameters (Å, degrees): 5.365 5.365 6.969 104.85 104.85 106.11
Fractional positions:
O1 0.892 0.290 0.102
O2 0.710 0.108 0.398
O3 0.633 0.763 0.901
O4 0.237 0.367 0.599
O5 0.070 0.930 0.250
O6 0.108 0.710 0.898
O7 0.367 0.237 0.099
O8 0.763 0.633 0.401
O9 0.290 0.892 0.602
O10 0.930 0.070 0.750
Be1 0.698 0.302 0.250
Be2 0.302 0.698 0.750
Ca1 0.667 0.333 0.750
Ca2 0.333 0.667 0.250
As1 0.000 0.000 0.000
As2 0.000 0.000 0.500

Output
The total energy is -6.289 eV/atom. The size of the total moment is 1.0 μB/f.u.


No. 12
Ca2BeAsO: optimized geometry, GGA-PBE.

Lattice parameters (Å, degrees): 3.760 6.071 8.185 109.87 90.00 90.00
Fractional positions:
O1 0.250 0.818 0.832
O2 0.750 0.182 0.168
Be1 0.250 0.544 0.756
Be2 0.750 0.456 0.244
As1 0.750 0.328 0.707
As2 0.250 0.672 0.293
Ca1 0.750 0.779 0.030
Ca2 0.750 0.792 0.614
Ca3 0.250 0.221 0.970
Ca4 0.250 0.208 0.386

Output
The total energy is -5.025 eV/atom. The size of the total moment is 0.0 μB/f.u.


No. 13
CaBeAs2O6: optimized geometry, GGA-PBE.

Lattice parameters (Å, degrees): 6.836 6.782 6.782 76.91 64.83 64.83
Fractional positions:
Be1 0.750 0.804 0.196
Be2 0.250 0.196 0.804
O1 0.006 0.623 0.187
O2 0.209 0.970 0.810
O3 0.494 0.813 0.377
O4 0.791 0.030 0.190
O5 0.916 0.243 0.413
O6 0.994 0.377 0.813
O7 0.291 0.190 0.030
O8 0.084 0.757 0.587
O9 0.416 0.413 0.243
O10 0.709 0.810 0.970
O11 0.584 0.587 0.757
O12 0.506 0.187 0.623
As1 0.643 0.259 0.350
As2 0.143 0.350 0.259
As3 0.857 0.650 0.741
As4 0.357 0.741 0.650
Ca1 0.750 0.175 0.825
Ca2 0.250 0.825 0.175

Output
The total energy is -6.293 eV/atom. The size of the total moment is 0.0 μB/f.u.


No. 14
Ca2BeAsP: optimized geometry, GGA-PBE.

Lattice parameters (Å, degrees): 4.107 6.095 8.516 92.64 90.00 90.00
Fractional positions:
Ca1 0.750 0.840 0.637
Ca2 0.250 0.255 0.901
Ca3 0.250 0.160 0.363
Ca4 0.750 0.745 0.099
Be1 0.250 0.516 0.621
Be2 0.750 0.484 0.379
P1 0.250 0.681 0.392
P2 0.750 0.319 0.608
As1 0.750 0.253 0.145
As2 0.250 0.747 0.855

Output
The total energy is -4.469 eV/atom. The size of the total moment is 0.0 μB/f.u.


No. 15
CaPaBeAs3: optimized geometry, GGA-PBE.

Lattice parameters (Å, degrees): 4.011 8.430 8.692 100.83 90.00 90.00
Fractional positions:
As1 0.250 0.801 0.493
As2 0.250 0.096 0.857
As3 0.750 0.199 0.507
As4 0.750 0.438 0.168
As5 0.250 0.562 0.832
As6 0.750 0.904 0.143
Pa1 0.250 0.676 0.168
Pa2 0.750 0.324 0.832
Ca1 0.750 0.818 0.770
Ca2 0.250 0.182 0.230
Be1 0.250 0.082 0.587
Be2 0.750 0.918 0.413

Output
The total energy is -5.658 eV/atom. The size of the total moment is 0.0 μB/f.u.


No. 16
Ca2BeAsPd6: optimized geometry, GGA-PBE.

Lattice parameters (Å, degrees): 5.995 6.967 6.029 62.58 60.69 89.54
Fractional positions:
Pd1 0.734 0.675 0.518
Pd2 0.205 0.685 0.042
Pd3 0.266 0.325 0.482
Pd4 0.743 0.702 0.030
Pd5 0.795 0.315 0.958
Pd6 0.257 0.298 0.970
Be1 0.500 0.500 0.000
Ca1 0.731 0.190 0.550
Ca2 0.269 0.810 0.450
As1 0.000 0.000 0.000

Output
The total energy is -4.928 eV/atom. The size of the total moment is 0.0 μB/f.u.


No. 17
Ca2BeAs4Pd3: optimized geometry, GGA-PBE.

Lattice parameters (Å, degrees): 4.137 4.137 10.998 90.00 90.00 90.00
Fractional positions:
As1 0.000 0.000 0.000
As2 0.500 0.000 0.632
As3 0.000 0.500 0.368
As4 0.500 0.500 0.000
Ca1 0.500 0.000 0.260
Ca2 0.000 0.500 0.740
Be1 0.500 0.500 0.500
Pd1 0.500 0.000 0.858
Pd2 0.000 0.000 0.500
Pd3 0.000 0.500 0.142

Output
The total energy is -4.837 eV/atom. The size of the total moment is 0.0 μB/f.u.


No. 18
CaBeAsPt2: optimized geometry, GGA-PBE.

Lattice parameters (Å, degrees): 4.251 5.078 4.251 90.00 90.00 90.00
Fractional positions:
Pt1 0.500 0.000 0.000
Pt2 0.000 0.000 0.500
Be1 0.000 0.000 0.000
Ca1 0.000 0.500 0.000
As1 0.500 0.500 0.500

Output
The total energy is -4.678 eV/atom. The size of the total moment is 0.0 μB/f.u.


No. 19
Rb2CaBeAs2: optimized geometry, GGA-PBE.

Lattice parameters (Å, degrees): 6.749 6.752 9.145 111.67 111.65 90.00
Fractional positions:
As1 0.378 0.577 0.155
As2 0.622 0.423 0.845
As3 0.223 0.923 0.845
As4 0.777 0.077 0.155
Ca1 0.000 0.250 0.000
Ca2 0.000 0.750 0.000
Be1 0.500 0.250 0.000
Be2 0.500 0.750 0.000
Rb1 0.906 0.677 0.354
Rb2 0.448 0.177 0.354
Rb3 0.552 0.823 0.646
Rb4 0.094 0.323 0.646

Output
The total energy is -3.336 eV/atom. The size of the total moment is 0.0 μB/f.u.


No. 20
CaBeAsSe2: optimized geometry, GGA-PBE.

Lattice parameters (Å, degrees): 5.363 5.363 5.446 90.00 90.00 90.00
Fractional positions:
Se1 0.500 0.000 0.000
Se2 0.000 0.500 0.000
As1 0.000 0.000 0.500
Be1 0.500 0.500 0.500
Ca1 0.000 0.000 0.000

Output
The size of the total moment is 0.0 μB/f.u. The calculation puts the polymorph energy (0 for the lowest one) at 6.404 eV per formula unit.


No. 21
CaBeAsSe2: optimized geometry, GGA-PBE.

Lattice parameters (Å, degrees): 5.042 5.042 4.197 90.00 90.00 90.00
Fractional positions:
Be1 0.000 0.000 0.000
As1 0.000 0.000 0.500
Se1 0.500 0.000 0.000
Se2 0.000 0.500 0.000
Ca1 0.500 0.500 0.500

Output
The size of the total moment is 0.0 μB/f.u. The calculation puts the polymorph energy (0 for the lowest one) at 0.000 eV per formula unit.


No. 22
Ca2BeSiAs: optimized geometry, GGA-PBE.

Lattice parameters (Å, degrees): 5.596 3.851 5.596 90.00 90.00 90.00
Fractional positions:
Ca1 0.500 0.000 0.000
Ca2 0.000 0.000 0.500
As1 0.000 0.500 0.000
Be1 0.000 0.000 0.000
Si1 0.500 0.500 0.500

Output
The total energy is -3.524 eV/atom. The size of the total moment is 0.0 μB/f.u.


No. 23
Be2Cd2As: optimized geometry, GGA-PBE.

Lattice parameters (Å, degrees): 7.871 7.871 2.727 90.00 90.00 90.00
Fractional positions:
Be1 0.100 0.600 0.500
Be2 0.600 0.900 0.500
Be3 0.400 0.100 0.500
Be4 0.900 0.400 0.500
As1 0.500 0.500 0.000
As2 0.000 0.000 0.000
Cd1 0.309 0.809 0.000
Cd2 0.191 0.309 0.000
Cd3 0.691 0.191 0.000
Cd4 0.809 0.691 0.000

Output
The size of the total moment is 0.0 μB/f.u. The calculation puts the polymorph energy (0 for the lowest one) at 0.340 eV per formula unit.